Below is a relaxed BaPtAu3 crystal, with properties calculated at the PBE level.

Calculated values
ΔH_f (0 K) (eV per atom): -0.46
Crystal system: hexagonal
D(E_F) (states/eV per cell): 4.2
Energy relative to the lowest polymorph listed for this composition (eV per atom): 0.000
Space-group type: P6_3/mmc (194)

Cell lengths 6.8112, 6.8112, 5.9782 Å; angles 90.00, 90.00, 120.00 degrees
Element x y z (fractional)
Ba (0.3333, 0.6667, 0.2500)
Ba (0.6667, 0.3333, 0.7500)
Pt (0.0000, 0.0000, 0.0000)
Pt (0.0000, 0.0000, 0.5000)
Au (0.1960, 0.3920, 0.7500)
Au (0.1960, 0.8040, 0.7500)
Au (0.3920, 0.1960, 0.2500)
Au (0.6080, 0.8040, 0.7500)
Au (0.8040, 0.1960, 0.2500)
Au (0.8040, 0.6080, 0.2500)

Below is a relaxed LiNiI crystal, with properties calculated at the PBE level.

Calculated values
Crystal system: monoclinic
D(E_F) (states/eV per cell): 1.8
Formation energy from raw total energies (eV/atom): -0.199
Energy relative to the lowest polymorph listed for this composition (eV per atom): 0.066
Space-group type: Cm (8)

Cell lengths 4.4445, 4.4445, 8.0612 Å; angles 94.02, 94.02, 57.37 degrees
Element x y z (fractional)
Li (0.0000, 0.0000, 0.0000)
Li (0.6956, 0.6956, 0.0787)
Ni (0.3072, 0.3072, 0.9310)
Ni (0.7777, 0.7777, 0.7636)
I (0.0967, 0.0967, 0.6864)
I (0.3969, 0.3969, 0.2331)

Below is a relaxed Sm4Er15In crystal, with properties calculated at the PBE level.

Calculated values
ΔH_f (0 K) (eV per atom): -0.03
Crystal system: tetragonal
D(E_F) (states/eV per cell): 23.9
Space-group type: P4/mmm (123)

Cell lengths 4.9474, 4.9474, 25.0106 Å; angles 90.00, 90.00, 90.00 degrees
Element x y z (fractional)
Sm (0.0000, 0.0000, 0.1013)
Sm (0.0000, 0.0000, 0.3023)
Sm (0.0000, 0.0000, 0.6977)
Sm (0.0000, 0.0000, 0.8987)
Er (0.0000, 0.5000, 0.0000)
Er (0.0000, 0.5000, 0.2021)
Er (0.0000, 0.5000, 0.4040)
Er (0.0000, 0.5000, 0.5960)
Er (0.0000, 0.5000, 0.7979)
Er (0.5000, 0.0000, 0.0000)
Er (0.5000, 0.0000, 0.2021)
Er (0.5000, 0.0000, 0.4040)
Er (0.5000, 0.0000, 0.5960)
Er (0.5000, 0.0000, 0.7979)
Er (0.5000, 0.5000, 0.1015)
Er (0.5000, 0.5000, 0.3054)
Er (0.5000, 0.5000, 0.5000)
Er (0.5000, 0.5000, 0.6946)
Er (0.5000, 0.5000, 0.8985)
In (0.0000, 0.0000, 0.5000)

> Which of these has the lowest D(E_F)?

LiNiI

> What is the formula in the second record?

LiNiI